DFT (PBE) results for an optimized crystal structure of Tb7DyY4.

Lattice parameters (Å, degrees): 12.0046 5.9092 12.6685 90.00 117.87 90.00
Last column: nearest neighbours and their distance in Å.
Space group C2/m (No. 12)
Asymmetric unit:
Tb: 0.0000 0.0000 0.0000  2 Dy 2.95, 2 Tb 3.12
Tb: 0.1321 0.5000 0.5000  2 Tb 3.17-3.27, 3 Y 3.29-3.49
Tb: 0.2125 0.0000 0.9236  1 Dy 3.12, 4 Tb 3.12-3.41, 4 Y 3.30-3.39
Tb: 0.2429 0.0000 0.6802  4 Tb 3.27-3.59, 2 Y 3.63
Dy: 0.0000 0.5000 0.0000  4 Tb 2.95-3.12
Y: 0.0624 0.0000 0.3196  5 Tb 3.29-3.67, 2 Y 3.65
Y: 0.1386 0.5000 0.7759  7 Tb 3.36-3.63, 2 Y 3.65

Summary:
- Size of the total moment: 0.0 μB/cell
- Crystal system: monoclinic
- Energy of formation from the pure elements: 0.28 eV/atom

=====

DFT (PBE) results for an optimized crystal structure of Tb6Dy4Y.

Lattice parameters (Å, degrees): 7.5458 7.5458 13.2379 90.00 90.00 90.00
Last column: nearest neighbours and their distance in Å.
Space group I-42m (No. 121)
Asymmetric unit:
Tb: 0.0000 0.5000 0.0000  4 Dy 3.00
Tb: 0.2366 0.2366 0.1869  1 Dy 3.20, 1 Y 3.53
Dy: 0.1661 0.1661 0.4220  3 Tb 3.00-3.20, 2 Dy 3.25
Y: 0.0000 0.0000 0.0000  8 Tb 3.53-3.77, 4 Dy 3.71

Summary:
- Size of the total moment: 0.0 μB/cell
- Crystal system: tetragonal
- Energy of formation from the pure elements: 0.42 eV/atom

=====

DFT (PBE) results for an optimized crystal structure of Tb12DyY7.

Lattice parameters (Å, degrees): 18.5923 18.5923 6.7185 90.00 90.00 120.00
Last column: nearest neighbours and their distance in Å.
Space group R-3 (No. 148, hexagonal axes)
Asymmetric unit:
Tb: 0.0004 0.2137 0.2715  4 Tb 3.25-3.41, 4 Y 3.48-3.63
Tb: 0.0042 0.5324 0.7437  2 Y 3.20-3.27, 5 Tb 3.25-3.47
Dy: 0.0000 0.0000 0.0000  8 Y 3.24-3.36
Y: 0.0000 0.0000 0.5000  2 Dy 3.36, 6 Y 3.37
Y: 0.0051 0.1553 0.7694  5 Tb 3.20-3.56, 1 Dy 3.24, 1 Y 3.37

Summary:
- Size of the total moment: 0.0 μB/cell
- Crystal system: trigonal
- Energy of formation from the pure elements: 0.32 eV/atom

=====

DFT (PBE) results for an optimized crystal structure of Tb2Dy2Y3.

Lattice parameters (Å, degrees): 3.5409 5.4877 23.2254 90.00 90.00 90.00
Last column: nearest neighbours and their distance in Å.
Space group Immm (No. 71)
Asymmetric unit:
Tb: 0.0000 0.0000 0.0795  3 Tb 3.54-3.70, 4 Dy 3.57, 6 Y 3.75-3.80
Dy: 0.0000 0.0000 0.3581  5 Y 3.30-3.58, 2 Dy 3.54, 4 Tb 3.57
Y: 0.0000 0.0000 0.5000  2 Dy 3.30, 2 Y 3.54
Y: 0.0000 0.5000 0.2759  4 Dy 3.34-3.58, 6 Y 3.48-3.54

Summary:
- Size of the total moment: 0.0 μB/cell
- Crystal system: orthorhombic
- Energy of formation from the pure elements: 0.04 eV/atom

=====

DFT (PBE) results for an optimized crystal structure of Tb2DyY3.

Lattice parameters (Å, degrees): 17.4680 7.1274 6.1620 90.00 90.09 90.00
Last column: nearest neighbours and their distance in Å.
Space group C2/c (No. 15)
Asymmetric unit:
Tb: 0.1666 0.1250 0.4169  8 Y 3.56-3.57, 3 Tb 3.56-3.57, 1 Dy 3.56
Dy: 0.0000 0.3749 0.2500  8 Y 3.56, 2 Dy 3.56, 2 Tb 3.56
Y: 0.0000 0.1252 0.7500  4 Dy 3.56, 4 Y 3.56, 4 Tb 3.56
Y: 0.1665 0.3751 0.9171  6 Tb 3.56-3.57, 4 Y 3.56-3.57, 2 Dy 3.56

Summary:
- Size of the total moment: 0.0 μB/cell
- Crystal system: monoclinic
- Energy of formation from the pure elements: 0.02 eV/atom

=====

DFT (PBE) results for an optimized crystal structure of Tb5Dy4Y2.

Lattice parameters (Å, degrees): 3.5506 8.7136 11.7962 75.92 81.40 89.99
Last column: nearest neighbours and their distance in Å.
Space group P-1 (No. 2)
Asymmetric unit:
Tb: 0.0000 0.0000 0.0000  6 Tb 3.55-3.56, 4 Dy 3.55-3.56, 2 Y 3.56
Tb: 0.2725 0.1815 0.4553  7 Tb 3.55-3.57, 3 Dy 3.55-3.56, 2 Y 3.57
Tb: 0.3638 0.9075 0.2728  3 Dy 3.54-3.55, 7 Tb 3.55-3.57, 2 Y 3.57-3.58
Dy: 0.1820 0.4553 0.6361  1 Y 3.55, 6 Dy 3.55-3.56, 5 Tb 3.55-3.56
Dy: 0.4540 0.6367 0.0914  3 Tb 3.54-3.56, 5 Dy 3.55-3.57, 4 Y 3.55-3.56
Y: 0.0904 0.7266 0.8185  5 Dy 3.55-3.56, 2 Y 3.55, 5 Tb 3.56-3.58

Summary:
- Size of the total moment: 0.0 μB/cell
- Crystal system: triclinic
- Energy of formation from the pure elements: 0.02 eV/atom

=====

DFT (PBE) results for an optimized crystal structure of TbDy3Y5.

Lattice parameters (Å, degrees): 9.7319 9.7319 7.0329 90.00 90.00 120.00
Last column: nearest neighbours and their distance in Å.
Space group P6_3/mcm (No. 193)
Asymmetric unit:
Tb: 0.0000 0.0000 0.0000  6 Y 3.48, 2 Tb 3.52, 6 Dy 3.90
Dy: 0.0000 0.3573 0.2500  9 Y 3.25-3.59
Y: 0.0000 0.3089 0.7500  5 Dy 3.25-3.55, 2 Tb 3.48
Y: 0.3333 0.6667 0.0000  8 Y 3.52-3.80, 6 Dy 3.59

Summary:
- Size of the total moment: 0.0 μB/cell
- Crystal system: hexagonal
- Energy of formation from the pure elements: 0.06 eV/atom

=====

DFT (PBE) results for an optimized crystal structure of Tb3Dy2Y.

Lattice parameters (Å, degrees): 22.0027 3.6397 11.2841 90.00 120.85 90.00
Last column: nearest neighbours and their distance in Å.
Space group C2/m (No. 12)
Asymmetric unit:
Tb: 0.0552 0.0000 0.1799  9 Tb 3.50-3.64, 1 Dy 3.51, 2 Y 3.53
Tb: 0.1114 0.5000 0.9857  5 Dy 3.50-3.64, 7 Tb 3.51-3.64
Tb: 0.2220 0.5000 0.3466  7 Tb 3.51-3.64, 2 Dy 3.52, 3 Y 3.53-3.65
Dy: 0.0556 0.0000 0.6808  3 Tb 3.51, 4 Y 3.51-3.63, 5 Dy 3.52-3.64
Dy: 0.2220 0.5000 0.8473  5 Tb 3.50-3.64, 6 Dy 3.51-3.64, 1 Y 3.52
Y: 0.1108 0.5000 0.4863  5 Dy 3.51-3.63, 5 Tb 3.53-3.65, 2 Y 3.64

Summary:
- Size of the total moment: 0.0 μB/cell
- Crystal system: monoclinic
- Energy of formation from the pure elements: 0.01 eV/atom

=====

DFT (PBE) results for an optimized crystal structure of Tb4DyY6.

Lattice parameters (Å, degrees): 7.5663 7.5663 13.2484 90.00 90.00 90.00
Last column: nearest neighbours and their distance in Å.
Space group I-42m (No. 121)
Asymmetric unit:
Tb: 0.1675 0.1675 0.4231  3 Y 3.00-3.22, 2 Tb 3.25
Dy: 0.0000 0.0000 0.0000  8 Y 3.53-3.78, 4 Tb 3.70
Y: 0.0000 0.5000 0.0000  4 Tb 3.00
Y: 0.2365 0.2365 0.1862  1 Tb 3.22, 1 Dy 3.53

Summary:
- Size of the total moment: 0.0 μB/cell
- Crystal system: tetragonal
- Energy of formation from the pure elements: 0.43 eV/atom

=====

DFT (PBE) results for an optimized crystal structure of Tb3Dy5Y.

Lattice parameters (Å, degrees): 15.0073 9.7232 8.9408 90.00 119.18 90.00
Last column: nearest neighbours and their distance in Å.
Space group C2/c (No. 15)
Asymmetric unit:
Tb: 0.0831 0.2497 0.1662  2 Tb 3.48, 10 Dy 3.66-3.69, 2 Y 3.68
Tb: 0.2500 0.2500 0.0000  2 Tb 3.48, 10 Dy 3.67-3.68, 2 Y 3.68
Dy: 0.0000 0.0817 0.7500  4 Dy 3.24-3.48, 1 Y 3.26
Dy: 0.1669 0.0836 0.5840  5 Dy 3.23-3.48
Dy: 0.1678 0.4158 0.5844  3 Dy 3.23-3.47, 2 Y 3.25-3.49
Y: 0.0000 0.4171 0.7500  5 Dy 3.25-3.49

Summary:
- Size of the total moment: 0.0 μB/cell
- Crystal system: monoclinic
- Energy of formation from the pure elements: 0.07 eV/atom

=====

DFT (PBE) results for an optimized crystal structure of Tb4DyY10.

Lattice parameters (Å, degrees): 12.1870 12.1870 7.7034 90.00 90.00 90.00
Last column: nearest neighbours and their distance in Å.
Space group I4/m (No. 87)
Asymmetric unit:
Tb: 0.1006 0.7008 0.0000  8 Y 3.33-3.35
Dy: 0.0000 0.0000 0.5000  8 Y 3.33
Y: 0.0000 0.5000 0.2500  4 Tb 3.35
Y: 0.0993 0.2003 0.2504  3 Tb 3.33-3.34, 1 Dy 3.33

Summary:
- Size of the total moment: 0.0 μB/cell
- Crystal system: tetragonal
- Energy of formation from the pure elements: 0.74 eV/atom

=====

DFT (PBE) results for an optimized crystal structure of Tb5Dy3Y2.

Lattice parameters (Å, degrees): 9.3394 13.5306 10.9102 90.00 90.00 90.00
Last column: nearest neighbours and their distance in Å.
Space group Ibam (No. 72)
Asymmetric unit:
Tb: 0.0000 0.0000 0.2500  6 Tb 3.31-3.37
Tb: 0.0000 0.2491 0.2500  3 Tb 3.31-3.37, 2 Y 3.32, 1 Dy 3.39
Tb: 0.0896 0.1246 0.0000  1 Y 2.92, 1 Dy 3.21
Dy: 0.0000 0.5000 0.2500  4 Y 3.35, 2 Tb 3.39
Dy: 0.2462 0.3765 0.0000  1 Tb 3.21, 1 Y 3.21
Y: 0.0976 0.3724 0.5000  1 Tb 2.92, 1 Dy 3.21

Summary:
- Size of the total moment: 0.0 μB/cell
- Crystal system: orthorhombic
- Energy of formation from the pure elements: 0.41 eV/atom

=====

Number 1: E_tot -119.090 eV per cell. Number 2: E_tot -96.048 eV per cell. Number 3: E_tot -297.034 eV per cell. Number 4: E_tot -75.100 eV per cell. Number 5: E_tot -132.508 eV per cell. Number 6: E_tot -54.298 eV per cell. Number 7: E_tot -100.490 eV per cell. Number 8: E_tot -118.030 eV per cell. Number 9: E_tot -114.346 eV per cell. Number 10: E_tot -170.948 eV per cell. Number 11: E_tot -153.385 eV per cell. Number 12: E_tot -182.998 eV per cell.